A relaxed structure of Al2TlMo, computed with PBE-GGA.

a = 5.2473 Å, b = 5.2473 Å, c = 5.2473 Å
α = 135.64°, β = 135.64°, γ = 64.54°
Last column: magnetic moment on the atom in μB.
Fractional positions:
Tl 0.7500 0.2500 0.5000  -0.01
Mo 0.5000 0.5000 0.0000  0.74
Al 0.2500 0.7500 0.5000  -0.01
Al 0.0000 0.0000 0.0000  0.00

Summary:
Symmetry: I-4m2
Calculated density (g/cm³): 8.45
Energy above the most stable polymorph in this dataset (meV/atom): 122.1
Crystal system: tetragonal
DFT formation energy (eV per formula unit): 1.0
E_tot (eV for the cell shown): -19.723